Record 1
# CsCoSe3

CsCoSe3 at its PBEsol-relaxed geometry (SCAN, Alexandria).

The structure in POSCAR format:
```
CsCoSe3
1.0
5.625 0.000 0.000
0.000 5.625 0.000
0.000 0.000 5.625
Cs Co Se
1 1 3
Cartesian
0.000 0.000 0.000
2.812 2.812 2.812
0.000 0.000 2.812
0.000 2.812 0.000
2.812 0.000 0.000
```

Values from the calculation:
As for the formation energy from raw total energies: 1.65 eV/atom. For the density of states at the Fermi level, the calculation gives 1.34 states/eV/atom. Its space group is No. 221. The energy comes out at -21.415 eV/atom.

---

Record 2
# LiMgIr2

LiMgIr2 at its PBEsol-relaxed geometry (SCAN, Alexandria).

The structure in POSCAR format:
```
LiMgIr2
1.0
2.836 0.000 0.000
0.000 4.352 0.000
0.000 0.000 4.541
Li Mg Ir
1 1 2
Cartesian
0.000 0.000 0.000
1.418 0.000 2.270
0.000 2.176 2.270
1.418 2.176 0.000
```

Values from the calculation:
For the density of states at the Fermi level, the calculation gives 0.67 states/eV/atom. Its space group is No. 47. The energy comes out at -37.698 eV/atom.

---

Record 3
# SbAuCl

SbAuCl at its PBEsol-relaxed geometry (SCAN, Alexandria).

The structure in POSCAR format:
```
SbAuCl
1.0
-1.887 2.005 5.547
1.887 -2.005 5.547
1.887 2.005 -5.547
Sb Au Cl
1 1 1
Cartesian
0.000 0.000 0.000
0.000 0.000 5.340
0.000 0.000 2.410
```

Values from the calculation:
As for the formation energy from raw total energies: -0.32 eV/atom. For the density of states at the Fermi level, the calculation gives 0.27 states/eV/atom. Its space group is No. 44. The energy comes out at -38.452 eV/atom.